(1)
Compound: V4GaFe
Source: the Alexandria database
Functional: PBE-GGA
Structure: optimized geometry

Its total magnetization is 1.461 μB per formula unit. The value obtained for the uncorrected energy is -7.303 eV/atom. Its formation energy is 0.69 eV per atom. As for the calculated volume: 16.208 A^3/atom.

It has space group Cmmm (No. 65), with a = 8.643 Å, b = 8.767 Å, c = 2.567 Å, α = 90.00°, β = 90.00° and γ = 90.00°. The asymmetric unit holds V at (0.000, 0.221, 0.000), V at (0.247, 0.000, 0.500), Ga at (0.000, 0.500, 0.000) and Fe at (0.000, 0.000, 0.500).

***

(2)
Compound: Ga2FeW
Source: the Alexandria database
Functional: PBE-GGA
Structure: optimized geometry

Its total magnetization is 2.625 μB per formula unit. The value obtained for the uncorrected energy is -6.572 eV/atom. Its formation energy is 0.30 eV per atom. As for the calculated volume: 14.410 A^3/atom.

It has space group Fm-3m (No. 225), with a = 6.132 Å, b = 6.132 Å, c = 6.132 Å, α = 90.00°, β = 90.00° and γ = 90.00°. The asymmetric unit holds Ga at (0.250, 0.250, 0.250), Fe at (0.000, 0.000, 0.000) and W at (0.000, 0.000, 0.500).

***

(3)
Compound: Ga2FeW
Source: the Alexandria database
Functional: PBE-GGA
Structure: optimized geometry

Its total magnetization is 2.479 μB per formula unit. The value obtained for the uncorrected energy is -6.370 eV/atom. Its formation energy is 0.50 eV per atom. As for the calculated volume: 15.482 A^3/atom.

It has space group I-42d (No. 122), with a = 6.782 Å, b = 6.782 Å, c = 5.385 Å, α = 90.00°, β = 90.00° and γ = 90.00°. The asymmetric unit holds Ga at (0.228, 0.250, 0.125), Fe at (0.000, 0.000, 0.000) and W at (0.000, 0.000, 0.500).

***

(4)
Compound: GaFe4W
Source: the Alexandria database
Functional: PBE-GGA
Structure: optimized geometry

Its total magnetization is 6.206 μB per formula unit. The value obtained for the uncorrected energy is -8.275 eV/atom. Its formation energy is 0.03 eV per atom. As for the calculated volume: 12.408 A^3/atom.

It has space group F-43m (No. 216), with a = 6.678 Å, b = 6.678 Å, c = 6.678 Å, α = 90.00°, β = 90.00° and γ = 90.00°. The asymmetric unit holds Ga at (0.000, 0.000, 0.000), Fe at (0.125, 0.125, 0.625) and W at (0.250, 0.250, 0.250).

***

(5)
Compound: Ga2Fe2W
Source: the Alexandria database
Functional: PBE-GGA
Structure: optimized geometry

Its total magnetization is 0.000 μB per formula unit. The value obtained for the uncorrected energy is -6.964 eV/atom. Its formation energy is 0.22 eV per atom. As for the calculated volume: 13.198 A^3/atom.

It has space group P4/mbm (No. 127), with a = 6.724 Å, b = 6.724 Å, c = 2.919 Å, α = 90.00°, β = 90.00° and γ = 90.00°. The asymmetric unit holds Ga at (0.162, 0.338, 0.000), Fe at (0.136, 0.636, 0.500) and W at (0.000, 0.000, 0.500).

***

(6)
Compound: GaFeW
Source: the Alexandria database
Functional: PBE-GGA
Structure: optimized geometry

Its total magnetization is 0.000 μB per formula unit. The value obtained for the uncorrected energy is -8.116 eV/atom. Its formation energy is 0.03 eV per atom. As for the calculated volume: 13.439 A^3/atom.

It has space group I4mm (No. 107), with a = 2.861 Å, b = 2.861 Å, c = 9.852 Å, α = 90.00°, β = 90.00° and γ = 90.00°. The asymmetric unit holds Ga at (0.000, 0.000, 0.000), Fe at (0.000, 0.000, 0.353) and W at (0.000, 0.000, 0.691).

***

(7)
Compound: GaFe3W
Source: the Alexandria database
Functional: PBE-GGA
Structure: optimized geometry

Its total magnetization is 5.650 μB per formula unit. The value obtained for the uncorrected energy is -6.759 eV/atom. Its formation energy is 1.51 eV per atom. As for the calculated volume: 19.856 A^3/atom.

It has space group Pm-3m (No. 221), with a = 4.630 Å, b = 4.630 Å, c = 4.630 Å, α = 90.00°, β = 90.00° and γ = 90.00°. The asymmetric unit holds Ga at (0.000, 0.000, 0.000), Fe at (0.000, 0.500, 0.500) and W at (0.500, 0.500, 0.500).

***

(8)
Compound: GaFe6W
Source: the Alexandria database
Functional: PBE-GGA
Structure: optimized geometry

Its total magnetization is 10.468 μB per formula unit. The value obtained for the uncorrected energy is -8.340 eV/atom. Its formation energy is 0.00 eV per atom. As for the calculated volume: 12.136 A^3/atom.

It has space group Cmmm (No. 65), with a = 7.302 Å, b = 10.317 Å, c = 10.310 Å, α = 90.00°, β = 90.00° and γ = 90.00°. The asymmetric unit holds Ga at (0.000, 0.000, 0.248), Ga at (0.000, 0.252, 0.500), Fe at (0.000, 0.000, 0.000), Fe at (0.000, 0.000, 0.500), Fe at (0.000, 0.250, 0.252), Fe at (0.000, 0.500, 0.000), Fe at (0.000, 0.500, 0.500), Fe at (0.247, 0.124, 0.125), Fe at (0.247, 0.126, 0.376), W at (0.000, 0.255, 0.000) and W at (0.000, 0.500, 0.243).

***

(9)
Compound: YGa2Fe9
Source: the Alexandria database
Functional: PBE-GGA
Structure: optimized geometry

Its total magnetization is 14.909 μB per formula unit. The value obtained for the uncorrected energy is -7.448 eV/atom. Its formation energy is -0.06 eV per atom. As for the calculated volume: 13.086 A^3/atom.

It has space group P4/mbm (No. 127), with a = 8.081 Å, b = 8.081 Å, c = 4.810 Å, α = 90.00°, β = 90.00° and γ = 90.00°. The asymmetric unit holds Y at (0.000, 0.000, 0.000), Ga at (0.122, 0.378, 0.000), Fe at (0.000, 0.500, 0.500), Fe at (0.068, 0.213, 0.500) and Fe at (0.176, 0.676, 0.238).

***

(10)
Compound: Y4Ga16Fe3
Source: the Alexandria database
Functional: PBE-GGA
Structure: optimized geometry

Its total magnetization is 1.319 μB per formula unit. The value obtained for the uncorrected energy is -4.783 eV/atom. Its formation energy is -0.45 eV per atom. As for the calculated volume: 17.719 A^3/atom.

It has space group P4/mmm (No. 123), with a = 6.029 Å, b = 6.029 Å, c = 11.213 Å, α = 90.00°, β = 90.00° and γ = 90.00°. The asymmetric unit holds Y at (0.000, 0.500, 0.194), Ga at (0.000, 0.000, 0.199), Ga at (0.219, 0.219, 0.000), Ga at (0.252, 0.252, 0.386), Ga at (0.500, 0.500, 0.216), Fe at (0.000, 0.500, 0.500) and Fe at (0.500, 0.500, 0.000).

***

(11)
Compound: YGa3Fe3
Source: the Alexandria database
Functional: PBE-GGA
Structure: optimized geometry

Its total magnetization is 5.061 μB per formula unit. The value obtained for the uncorrected energy is -5.419 eV/atom. Its formation energy is 0.43 eV per atom. As for the calculated volume: 19.608 A^3/atom.

It has space group Pm-3n (No. 223), with a = 6.499 Å, b = 6.499 Å, c = 6.499 Å, α = 90.00°, β = 90.00° and γ = 90.00°. The asymmetric unit holds Y at (0.000, 0.000, 0.000), Ga at (0.000, 0.250, 0.500) and Fe at (0.000, 0.500, 0.250).

***

(12)
Compound: YGa3Fe
Source: the Alexandria database
Functional: PBE-GGA
Structure: optimized geometry

Its total magnetization is 1.690 μB per formula unit. The value obtained for the uncorrected energy is -5.048 eV/atom. Its formation energy is -0.25 eV per atom. As for the calculated volume: 19.167 A^3/atom.

It has space group Immm (No. 71), with a = 6.695 Å, b = 6.813 Å, c = 8.404 Å, α = 90.00°, β = 90.00° and γ = 90.00°. The asymmetric unit holds Y at (0.000, 0.000, 0.248), Ga at (0.000, 0.500, 0.261), Ga at (0.191, 0.304, 0.500) and Fe at (0.000, 0.343, 0.000).

***

(13)
Compound: YGa3Fe
Source: the Alexandria database
Functional: PBE-GGA
Structure: optimized geometry

Its total magnetization is 0.000 μB per formula unit. The value obtained for the uncorrected energy is -5.081 eV/atom. Its formation energy is -0.28 eV per atom. As for the calculated volume: 17.676 A^3/atom.

It has space group Pm-3m (No. 221), with a = 4.454 Å, b = 4.454 Å, c = 4.454 Å, α = 90.00°, β = 90.00° and γ = 90.00°. The asymmetric unit holds Y at (0.000, 0.000, 0.000), Ga at (0.000, 0.500, 0.500) and Fe at (0.500, 0.500, 0.500).

***

(14)
Compound: YGa7Fe5
Source: the Alexandria database
Functional: PBE-GGA
Structure: optimized geometry

Its total magnetization is 9.566 μB per formula unit. The value obtained for the uncorrected energy is -5.679 eV/atom. Its formation energy is -0.30 eV per atom. As for the calculated volume: 14.598 A^3/atom.

It has space group Imm2 (No. 44), with a = 5.061 Å, b = 8.677 Å, c = 8.642 Å, α = 90.00°, β = 90.00° and γ = 90.00°. The asymmetric unit holds Y at (0.000, 0.000, 0.000), Ga at (0.000, 0.000, 0.331), Ga at (0.000, 0.000, 0.656), Ga at (0.000, 0.297, 0.503), Ga at (0.000, 0.340, 0.988), Ga at (0.000, 0.500, 0.266), Fe at (0.000, 0.500, 0.737) and Fe at (0.246, 0.251, 0.245).

***

(15)
Compound: Y8Ga2Fe
Source: the Alexandria database
Functional: PBE-GGA
Structure: optimized geometry

Its total magnetization is 0.001 μB per formula unit. The value obtained for the uncorrected energy is -6.215 eV/atom. Its formation energy is -0.19 eV per atom. As for the calculated volume: 26.380 A^3/atom.

It has space group C2/m (No. 12), with a = 17.648 Å, b = 5.054 Å, c = 6.683 Å, α = 90.00°, β = 103.18° and γ = 90.00°. The asymmetric unit holds Y at (0.023, 0.000, 0.284), Y at (0.089, 0.500, 0.941), Y at (0.151, 0.500, 0.462), Y at (0.205, 0.000, 0.806), Ga at (0.191, 0.000, 0.240) and Fe at (0.000, 0.500, 0.500).

***

(16)
Compound: YGa8Fe2
Source: the Alexandria database
Functional: PBE-GGA
Structure: optimized geometry

Its total magnetization is 3.687 μB per formula unit. The value obtained for the uncorrected energy is -4.345 eV/atom. Its formation energy is -0.02 eV per atom. As for the calculated volume: 18.858 A^3/atom.

It has space group P4/mmm (No. 123), with a = 6.223 Å, b = 6.223 Å, c = 5.357 Å, α = 90.00°, β = 90.00° and γ = 90.00°. The asymmetric unit holds Y at (0.000, 0.000, 0.000), Ga at (0.289, 0.289, 0.255) and Fe at (0.000, 0.500, 0.500).

***

(17)
Compound: YGa8Fe4
Source: the Alexandria database
Functional: PBE-GGA
Structure: optimized geometry

Its total magnetization is 6.180 μB per formula unit. The value obtained for the uncorrected energy is -5.251 eV/atom. Its formation energy is -0.29 eV per atom. As for the calculated volume: 14.777 A^3/atom.

It has space group I4/mmm (No. 139), with a = 8.706 Å, b = 8.706 Å, c = 5.069 Å, α = 90.00°, β = 90.00° and γ = 90.00°. The asymmetric unit holds Y at (0.000, 0.000, 0.000), Ga at (0.000, 0.222, 0.500), Ga at (0.000, 0.339, 0.000) and Fe at (0.250, 0.250, 0.250).

***

(18)
Compound: Y3GaFe
Source: the Alexandria database
Functional: PBE-GGA
Structure: optimized geometry

Its total magnetization is 0.000 μB per formula unit. The value obtained for the uncorrected energy is -6.125 eV/atom. Its formation energy is 0.05 eV per atom. As for the calculated volume: 25.942 A^3/atom.

It has space group Pm-3m (No. 221), with a = 5.062 Å, b = 5.062 Å, c = 5.062 Å, α = 90.00°, β = 90.00° and γ = 90.00°. The asymmetric unit holds Y at (0.000, 0.000, 0.500), Ga at (0.500, 0.500, 0.500) and Fe at (0.000, 0.000, 0.000).

***

(19)
Compound: Y4GaFe
Source: the Alexandria database
Functional: PBE-GGA
Structure: optimized geometry

Its total magnetization is 0.000 μB per formula unit. The value obtained for the uncorrected energy is -6.425 eV/atom. Its formation energy is -0.20 eV per atom. As for the calculated volume: 25.616 A^3/atom.

It has space group C2/c (No. 15), with a = 8.457 Å, b = 12.400 Å, c = 6.106 Å, α = 90.00°, β = 106.22° and γ = 90.00°. The asymmetric unit holds Y at (0.106, 0.167, 0.040), Y at (0.209, 0.422, 0.408), Ga at (0.000, 0.374, 0.750) and Fe at (0.000, 0.001, 0.250).

***

(20)
Compound: Zn2GaFe
Source: the Alexandria database
Functional: PBE-GGA
Structure: optimized geometry

Its total magnetization is 2.850 μB per formula unit. The value obtained for the uncorrected energy is -3.188 eV/atom. Its formation energy is 0.32 eV per atom. As for the calculated volume: 15.513 A^3/atom.

It has space group R-3m (No. 166, hexagonal axes), with a = 2.6958 Å, b = 2.6958 Å, c = 29.5785 Å, α = 90.00°, β = 90.00° and γ = 120.00°. The asymmetric unit holds Zn at (0.0000, 0.0000, 0.0841), Ga at (0.0000, 0.0000, 0.5000) and Fe at (0.0000, 0.0000, 0.0000).